Entry 1:
{"formula": "LaTiW2", "functional": "PBE-GGA", "state": "relaxed", "lattice_angstrom": [[0.0000, 3.3555, 3.3555], [3.3555, 0.0000, 3.3555], [3.3555, 3.3555, 0.0000]], "species": ["Ti", "W", "W", "La"], "frac_coords": [[0.0000, 0.0000, 0.0000], [0.2500, 0.2500, 0.2500], [0.7500, 0.7500, 0.7500], [0.5000, 0.5000, 0.5000]], "de_polymorph_mev_per_atom": 0, "space_group": "Fm-3m (225)"}

***

Entry 2:
{"formula": "LaTi3W", "functional": "PBE-GGA", "state": "relaxed", "lattice_angstrom": [[4.9028, 0.0000, 0.0000], [0.0000, 4.9028, 0.0000], [0.0000, 0.0000, 4.9028]], "species": ["Ti", "Ti", "Ti", "W", "La"], "frac_coords": [[0.0000, 0.5000, 0.0000], [0.0000, 0.0000, 0.5000], [0.5000, 0.0000, 0.0000], [0.0000, 0.0000, 0.0000], [0.5000, 0.5000, 0.5000]], "de_polymorph_mev_per_atom": 0, "space_group": "Pm-3m (221)"}

***

Entry 3:
{"formula": "LaTiW2", "functional": "PBE-GGA", "state": "relaxed", "lattice_angstrom": [[7.7847, 0.0000, 0.0000], [0.0000, 7.7847, 0.0000], [3.8924, 3.8924, 2.7381]], "species": ["Ti", "Ti", "W", "W", "W", "W", "La", "La"], "frac_coords": [[0.5000, 0.5000, 0.0000], [0.2500, 0.7500, 0.5000], [0.5918, 0.1250, 0.2500], [0.1582, 0.6250, 0.2500], [0.3750, 0.4082, 0.7500], [0.8750, 0.8418, 0.7500], [0.0000, 0.0000, 0.0000], [0.7500, 0.2500, 0.5000]], "de_polymorph_mev_per_atom": 391, "space_group": "I-42d (122)"}

***

Entry 4:
{"formula": "La2TiW", "functional": "PBE-GGA", "state": "relaxed", "lattice_angstrom": [[0.0000, 3.6650, 3.6650], [3.6650, 0.0000, 3.6650], [3.6650, 3.6650, 0.0000]], "species": ["Ti", "W", "La", "La"], "frac_coords": [[0.0000, 0.0000, 0.0000], [0.5000, 0.5000, 0.5000], [0.2500, 0.2500, 0.2500], [0.7500, 0.7500, 0.7500]], "final_energy_ev_per_cell": -27.9, "space_group": "Fm-3m (225)"}

***

Entry 5:
{"formula": "LaY3Ti", "functional": "PBE-GGA", "state": "relaxed", "lattice_angstrom": [[-1.4373, 5.0995, 1.6112], [0.7287, -1.4661, 5.2902], [5.2981, 1.5851, -0.2905]], "species": ["Y", "Y", "Y", "Ti", "La"], "frac_coords": [[0.0000, 0.5000, 0.0000], [0.0000, 0.0000, 0.5000], [0.5000, 0.0000, 0.0000], [0.0000, 0.0000, 0.0000], [0.5000, 0.5000, 0.5000]], "de_polymorph_mev_per_atom": 0, "space_group": "Pm-3m (221)"}

***

Entry 6:
{"formula": "La12Y5Ti3", "functional": "PBE-GGA", "state": "relaxed", "lattice_angstrom": [[-15.4139, 2.0781, 2.1588], [6.2361, -6.6023, 12.8096], [6.8432, 13.8942, -2.5863]], "species": ["Ti", "Ti", "Ti", "Ti", "Ti", "Ti", "Ti", "Ti", "Ti", "Ti", "Ti", "Ti", "Y", "Y", "Y", "Y", "Y", "Y", "Y", "Y", "Y", "Y", "Y", "Y", "Y", "Y", "Y", "Y", "Y", "Y", "Y", "Y", "La", "La", "La", "La", "La", "La", "La", "La", "La", "La", "La", "La", "La", "La", "La", "La", "La", "La", "La", "La", "La", "La", "La", "La", "La", "La", "La", "La", "La", "La", "La", "La", "La", "La", "La", "La", "La", "La", "La", "La", "La", "La", "La", "La", "La", "La", "La", "La"], "frac_coords": [[0.7500, 0.3750, 0.1250], [0.8750, 0.7500, 0.1250], [0.3750, 0.7500, 0.6250], [0.2500, 0.1250, 0.3750], [0.8750, 0.1250, 0.2500], [0.3750, 0.6250, 0.2500], [0.6250, 0.3750, 0.7500], [0.1250, 0.8750, 0.7500], [0.7500, 0.8750, 0.6250], [0.6250, 0.2500, 0.3750], [0.1250, 0.2500, 0.8750], [0.2500, 0.6250, 0.8750], [0.1250, 0.3750, 0.2500], [0.0000, 0.5000, 0.0000], [0.0000, 0.0000, 0.0000], [0.3750, 0.2500, 0.1250], [0.5000, 0.0000, 0.5000], [0.5000, 0.5000, 0.0000], [0.1250, 0.7500, 0.3750], [0.7500, 0.1250, 0.8750], [0.7500, 0.6250, 0.3750], [0.3750, 0.1250, 0.7500], [0.6250, 0.8750, 0.2500], [0.5000, 0.5000, 0.5000], [0.5000, 0.0000, 0.0000], [0.0000, 0.0000, 0.5000], [0.2500, 0.3750, 0.6250], [0.2500, 0.8750, 0.1250], [0.0000, 0.5000, 0.5000], [0.8750, 0.2500, 0.6250], [0.6250, 0.7500, 0.8750], [0.8750, 0.6250, 0.7500], [0.7459, 0.1350, 0.0803], [0.3345, 0.5803, 0.4453], [0.9197, 0.3650, 0.2541], [0.5803, 0.2459, 0.1350], [0.6108, 0.7459, 0.6655], [0.9197, 0.5547, 0.1655], [0.3345, 0.7541, 0.3892], [0.0547, 0.8892, 0.1350], [0.5547, 0.9197, 0.6655], [0.7459, 0.6108, 0.1655], [0.7541, 0.4197, 0.3650], [0.8345, 0.9453, 0.0803], [0.1350, 0.7459, 0.5803], [0.3650, 0.4453, 0.1108], [0.1108, 0.9453, 0.3650], [0.3892, 0.1350, 0.5547], [0.1108, 0.1655, 0.2459], [0.4197, 0.6655, 0.0547], [0.8345, 0.8892, 0.2541], [0.1350, 0.3892, 0.0547], [0.3650, 0.9197, 0.7541], [0.5547, 0.6350, 0.3892], [0.9453, 0.8345, 0.5803], [0.7541, 0.3345, 0.8892], [0.4453, 0.3650, 0.6108], [0.0547, 0.1655, 0.4197], [0.2459, 0.6655, 0.1108], [0.1655, 0.1108, 0.7459], [0.6350, 0.0803, 0.2459], [0.8650, 0.6108, 0.9453], [0.5803, 0.3345, 0.9453], [0.6108, 0.8650, 0.4453], [0.8892, 0.8345, 0.7541], [0.8892, 0.0547, 0.6350], [0.8650, 0.2541, 0.4197], [0.1655, 0.0547, 0.9197], [0.6350, 0.5547, 0.8892], [0.4453, 0.0803, 0.3345], [0.2541, 0.3892, 0.8345], [0.2459, 0.5803, 0.6350], [0.9453, 0.1108, 0.8650], [0.6655, 0.2459, 0.6108], [0.4197, 0.7541, 0.8650], [0.0803, 0.4453, 0.8345], [0.3892, 0.2541, 0.3345], [0.0803, 0.6350, 0.7459], [0.6655, 0.4197, 0.5547], [0.2541, 0.8650, 0.9197]], "final_energy_ev_per_cell": -385.8, "space_group": "Ia-3d (230)"}